The following is a DFT calculation (GGA-PBE) of a geometry-optimized Sr3Pb structure.

The structure in POSCAR format:
```
Sr3Pb
1.0
5.4199 0.0000 0.0000
0.0000 5.4199 0.0000
0.0000 0.0000 5.4199
Sr Pb
3 1
direct
0.0000 0.0000 0.5000
0.0000 0.5000 0.0000
0.5000 0.0000 0.0000
0.5000 0.5000 0.5000
```

Calculated values
Calculated volume: 159.21 Å³ per cell
VASP energy: -10.02 eV/cell